# YIn2As PBE relaxed
data_YIn2As
_cell_length_a 5.7015
_cell_length_b 5.7015
_cell_length_c 5.7015
_cell_angle_alpha 133.68
_cell_angle_beta 133.64
_cell_angle_gamma 67.61
_symmetry_space_group_name_H-M 'P 1'
_symmetry_Int_Tables_number 1
loop_
_symmetry_equiv_pos_as_xyz
'x,y,z'
loop_
_atom_site_label
_atom_site_type_symbol
_atom_site_fract_x
_atom_site_fract_y
_atom_site_fract_z
Y1 Y 0.0000 0.0000 0.0000
In1 In 0.4994 0.4994 0.0000
In2 In 0.7498 0.2498 0.5000
As1 As 0.2498 0.7498 0.5000
# - raw total energy (eV for the cell shown) = -18.4
# - energy of formation from the pure elements (eV/atom) = -0.446
# - magnetization (μB per cell) = 0.00
# - symmetry = No. 44
# - crystal system = orthorhombic

# DyTmAlCr PBE relaxed
data_DyTmAlCr
_cell_length_a 5.0617
_cell_length_b 5.0617
_cell_length_c 5.0617
_cell_angle_alpha 60.00
_cell_angle_beta 60.00
_cell_angle_gamma 60.00
_symmetry_space_group_name_H-M 'P 1'
_symmetry_Int_Tables_number 1
loop_
_symmetry_equiv_pos_as_xyz
'x,y,z'
loop_
_atom_site_label
_atom_site_type_symbol
_atom_site_fract_x
_atom_site_fract_y
_atom_site_fract_z
Dy1 Dy 0.0000 0.0000 0.0000
Tm1 Tm 0.5000 0.5000 0.5000
Al1 Al 0.7500 0.7500 0.7500
Cr1 Cr 0.2500 0.2500 0.2500
# - raw total energy (eV for the cell shown) = -22.6
# - energy of formation from the pure elements (eV/atom) = -0.030
# - magnetization (μB per cell) = 3.84
# - symmetry = No. 216
# - crystal system = cubic

# SbTeRu2 PBE relaxed
data_SbTeRu2
_cell_length_a 3.1542
_cell_length_b 3.1542
_cell_length_c 8.3710
_cell_angle_alpha 90.00
_cell_angle_beta 90.00
_cell_angle_gamma 90.00
_symmetry_space_group_name_H-M 'P 1'
_symmetry_Int_Tables_number 1
loop_
_symmetry_equiv_pos_as_xyz
'x,y,z'
loop_
_atom_site_label
_atom_site_type_symbol
_atom_site_fract_x
_atom_site_fract_y
_atom_site_fract_z
Sb1 Sb 0.0000 0.0000 0.0000
Te1 Te 0.5000 0.5000 0.4149
Ru1 Ru 0.0000 0.0000 0.5911
Ru2 Ru 0.5000 0.5000 0.8138
# - raw total energy (eV for the cell shown) = -25.3
# - raw formation energy (meV per atom) = 127
# - magnetization (μB per cell) = 0.00
# - symmetry = No. 99
# - crystal system = tetragonal